A geometry-optimized CrAsPO2 structure. Source: Alexandria, functional PBE+U.

The space group is P4/mmm (No. 123) and the conventional cell measures 3.661, 3.661 and 5.457 Å, with angles of 90.00, 90.00 and 90.00 degrees. The distinct sites, in fractional coordinates, are Cr at (0.000, 0.000, 0.000), As at (0.500, 0.500, 0.500), P at (0.000, 0.000, 0.500) and O at (0.000, 0.500, 0.000).

The volume comes out at 14.6 Å³ per atom. The relative energy among the computed polymorphs is 0.000 eV/atom.